P | ZnNi2N: relaxed, GGA-PBE.

Lattice parameters (Å, degrees): 6.010 6.010 4.975 52.84 52.84 90.00
Sites, in units of the cell vectors:
1 Ni 0.508 0.125 0.250
2 Ni 0.242 0.625 0.250
3 Ni 0.375 0.492 0.750
4 Ni 0.875 0.758 0.750
5 Zn 0.000 0.000 0.000
6 Zn 0.750 0.250 0.500
7 N 0.500 0.500 0.000
8 N 0.250 0.750 0.500

Q | ZnNi2N: relaxed, GGA-PBE.

Lattice parameters (Å, degrees): 2.734 2.734 7.395 79.35 79.35 60.00
Sites, in units of the cell vectors:
1 Ni 0.114 0.114 0.657
2 Ni 0.886 0.886 0.343
3 Zn 0.000 0.000 0.000
4 N 0.500 0.500 0.500

Which structure is the most stable? The one labeled P.

P | Zn2NiN2: relaxed, GGA-PBE.

Lattice parameters (Å, degrees): 2.768 2.768 7.212 78.94 78.94 90.00
Sites, in units of the cell vectors:
1 Ni 0.000 0.000 0.000
2 Zn 0.381 0.381 0.238
3 Zn 0.619 0.619 0.762
4 N 0.750 0.250 0.500
5 N 0.250 0.750 0.500

Q | Zn2NiN2: relaxed, GGA-PBE.

Lattice parameters (Å, degrees): 6.225 6.225 2.709 90.00 90.00 90.00
Each line ends with the local moment (μB).
Sites, in units of the cell vectors:
1 Ni 0.000 0.000 0.000  0.65
2 Ni 0.500 0.500 0.000  0.65
3 Zn 0.360 0.860 0.000  0.00
4 Zn 0.860 0.640 0.000  0.00
5 Zn 0.640 0.140 0.000  0.00
6 Zn 0.140 0.360 0.000  0.00
7 N 0.173 0.673 0.500  0.21
8 N 0.673 0.827 0.500  0.20
9 N 0.827 0.327 0.500  0.21
10 N 0.327 0.173 0.500  0.20

R | Zn2NiN2: relaxed, GGA-PBE.

Lattice parameters (Å, degrees): 5.949 5.949 7.271 59.53 59.53 34.98
Sites, in units of the cell vectors:
1 Zn 0.659 0.659 0.991
2 Zn 0.341 0.341 0.009
3 Zn 0.096 0.096 0.702
4 Zn 0.904 0.904 0.298
5 Ni 0.382 0.382 0.613
6 Ni 0.618 0.618 0.387
7 N 0.198 0.198 0.856
8 N 0.802 0.802 0.144
9 N 0.479 0.479 0.315
10 N 0.521 0.521 0.685

Which structure is the most stable? The one labeled R.

P | Zn3NiN: relaxed, GGA-PBE.

Lattice parameters (Å, degrees): 4.578 4.578 4.578 90.00 90.00 90.00
Each line ends with the local moment (μB).
Sites, in units of the cell vectors:
1 Ni 0.000 0.000 0.000  0.12
2 Zn 0.000 0.500 0.000  0.02
3 Zn 0.000 0.000 0.500  -0.02
4 Zn 0.500 0.000 0.000  0.04
5 N 0.500 0.500 0.500  1.56

Q | Zn3NiN: relaxed, GGA-PBE.

Lattice parameters (Å, degrees): 4.060 4.060 4.060 90.00 90.00 90.00
Sites, in units of the cell vectors:
1 Ni 0.500 0.500 0.500
2 Zn 0.000 0.500 0.000
3 Zn 0.000 0.000 0.500
4 Zn 0.500 0.000 0.000
5 N 0.000 0.000 0.000

Which structure is the most stable? The one labeled Q.

P | Zr4Ni2N: relaxed, GGA-PBE.

Lattice parameters (Å, degrees): 3.219 5.785 7.229 116.15 102.86 90.00
Sites, in units of the cell vectors:
1 Zr 0.914 0.247 0.828
2 Zr 0.086 0.753 0.172
3 Zr 0.619 0.269 0.237
4 Zr 0.381 0.731 0.763
5 Ni 0.740 0.812 0.481
6 Ni 0.260 0.188 0.519
7 N 0.000 0.000 0.000

Q | Zr4Ni2N: relaxed, GGA-PBE.

Lattice parameters (Å, degrees): 8.658 8.658 8.658 60.00 60.00 60.00
Sites, in units of the cell vectors:
1 Zr 0.125 0.625 0.625
2 Zr 0.625 0.125 0.625
3 Zr 0.625 0.625 0.125
4 Zr 0.625 0.625 0.625
5 Zr 0.817 0.817 0.183
6 Zr 0.183 0.183 0.817
7 Zr 0.817 0.183 0.817
8 Zr 0.183 0.817 0.183
9 Zr 0.183 0.817 0.817
10 Zr 0.817 0.183 0.183
11 Zr 0.433 0.433 0.067
12 Zr 0.067 0.067 0.433
13 Zr 0.433 0.067 0.433
14 Zr 0.067 0.433 0.067
15 Zr 0.067 0.433 0.433
16 Zr 0.433 0.067 0.067
17 Ni 0.769 0.410 0.410
18 Ni 0.410 0.769 0.410
19 Ni 0.410 0.410 0.769
20 Ni 0.410 0.410 0.410
21 Ni 0.481 0.840 0.840
22 Ni 0.840 0.481 0.840
23 Ni 0.840 0.840 0.481
24 Ni 0.840 0.840 0.840
25 N 0.625 0.125 0.125
26 N 0.125 0.625 0.125
27 N 0.125 0.125 0.625
28 N 0.125 0.125 0.125

Which structure is the most stable? The one labeled Q.

P | Np2NO: relaxed, GGA-PBE.

Lattice parameters (Å, degrees): 3.022 3.022 6.065 90.00 90.00 90.00
Each line ends with the local moment (μB).
Sites, in units of the cell vectors:
1 Np 0.000 0.000 0.740  4.20
2 Np 0.000 0.000 0.260  4.20
3 O 0.500 0.500 0.000  -0.05
4 N 0.500 0.500 0.500  -0.15

Q | Np2NO: relaxed, GGA-PBE.

Lattice parameters (Å, degrees): 3.439 3.439 5.934 73.16 73.16 60.00
Each line ends with the local moment (μB).
Sites, in units of the cell vectors:
1 Np 0.751 0.751 0.748  3.17
2 Np 0.249 0.249 0.252  3.17
3 O 0.000 0.000 0.000  -0.10
4 N 0.500 0.500 0.500  -0.14

Which structure is the most stable? The one labeled Q.

P | Np3PaN6: relaxed, GGA-PBE.

Lattice parameters (Å, degrees): 5.944 5.944 5.894 59.72 59.72 60.00
Each line ends with the local moment (μB).
Sites, in units of the cell vectors:
1 Np 0.365 0.365 0.906  2.95
2 Np 0.639 0.639 0.084  2.75
3 Np 0.140 0.140 0.581  2.69
4 Pa 0.864 0.864 0.407  0.21
5 N 0.964 0.529 0.253  -0.14
6 N 0.254 0.964 0.253  -0.14
7 N 0.529 0.254 0.253  -0.14
8 N 0.029 0.463 0.754  -0.15
9 N 0.755 0.029 0.754  -0.15
10 N 0.463 0.755 0.754  -0.15

Q | Np3PaN6: relaxed, GGA-PBE.

Lattice parameters (Å, degrees): 6.773 6.773 6.773 91.36 91.36 91.36
Each line ends with the local moment (μB).
Sites, in units of the cell vectors:
1 Np 0.058 0.553 0.252  2.82
2 Np 0.252 0.058 0.553  2.82
3 Np 0.447 0.748 0.942  2.82
4 Np 0.553 0.252 0.058  2.82
5 Np 0.748 0.942 0.447  2.82
6 Np 0.942 0.447 0.748  2.82
7 Pa 0.000 0.000 0.000  0.07
8 Pa 0.500 0.500 0.500  0.10
9 N 0.096 0.682 0.944  -0.13
10 N 0.056 0.904 0.318  -0.13
11 N 0.179 0.398 0.528  -0.14
12 N 0.318 0.056 0.904  -0.13
13 N 0.398 0.528 0.179  -0.14
14 N 0.472 0.821 0.602  -0.14
15 N 0.528 0.179 0.398  -0.14
16 N 0.602 0.472 0.821  -0.14
17 N 0.682 0.944 0.096  -0.13
18 N 0.821 0.602 0.472  -0.14
19 N 0.944 0.096 0.682  -0.13
20 N 0.904 0.318 0.056  -0.13

Which structure is the most stable? The one labeled Q.

P | Np2PaN: relaxed, GGA-PBE.

Lattice parameters (Å, degrees): 6.472 3.455 3.455 90.00 90.00 90.00
Each line ends with the local moment (μB).
Sites, in units of the cell vectors:
1 Np 0.000 0.000 0.500  1.58
2 Np 0.000 0.500 0.000  1.58
3 Pa 0.500 0.500 0.500  -0.17
4 N 0.500 0.000 0.000  0.05

Q | Np2PaN: relaxed, GGA-PBE.

Lattice parameters (Å, degrees): 2.988 2.988 8.214 90.00 90.00 90.00
Each line ends with the local moment (μB).
Sites, in units of the cell vectors:
1 Np 0.000 0.000 0.674  3.56
2 Np 0.000 0.000 0.326  3.56
3 Pa 0.500 0.500 0.000  -0.13
4 N 0.500 0.500 0.500  -0.14

Which structure is the most stable? The one labeled Q.

P | NpPdN: relaxed, GGA-PBE.

Lattice parameters (Å, degrees): 4.167 3.763 3.763 120.00 90.00 90.00
Each line ends with the local moment (μB).
Sites, in units of the cell vectors:
1 Np 0.500 0.667 0.333  2.42
2 Pd 0.000 0.000 0.000  -0.11
3 N 0.500 0.333 0.667  -0.18

Q | NpPdN: relaxed, GGA-PBE.

Lattice parameters (Å, degrees): 3.999 3.999 4.386 117.12 117.12 90.00
Each line ends with the local moment (μB).
Sites, in units of the cell vectors:
1 Np 0.250 0.250 0.500  3.46
2 Pd 0.644 0.644 0.287  -0.04
3 N 0.956 0.956 0.913  -0.09

Which structure is the most stable? The one labeled P.